Model w:
Entry from Alexandria: crystalline ZnAg2Pb at its relaxed geometry (GGA-PBEsol).

Cell lengths 4.8309, 4.8309, 5.6371 Å; angles 101.72, 101.72, 36.87 degrees
Closest atoms and distances in Å follow each position.
Positions (direct):
Zn (0.0000, 0.0000, 0.0000)  6 Ag 2.69-2.91
Ag (0.2650, 0.2650, 0.7939)  3 Zn 2.69-2.91, 2 Ag 2.84, 1 Pb 2.99
Ag (0.7350, 0.7350, 0.2061)  3 Zn 2.69-2.91, 2 Ag 2.84, 1 Pb 2.99
Pb (0.5000, 0.5000, 0.5000)  6 Ag 2.99-3.04, 2 Pb 3.06, 4 Zn 3.21

ρ: 10.518 g/cm³

***

Model x:
Entry from Alexandria: crystalline ZnAg2Pb at its relaxed geometry (GGA-PBEsol).

Cell lengths 5.2112, 5.2112, 5.2112 Å; angles 132.57, 132.57, 69.32 degrees
Closest atoms and distances in Å follow each position.
Positions (direct):
Zn (0.0000, 0.0000, 0.0000)  8 Ag 2.96-3.00, 4 Pb 3.00
Ag (0.5000, 0.5000, 0.0000)  4 Zn 2.96, 4 Pb 3.00, 4 Ag 3.00
Ag (0.7500, 0.2500, 0.5000)  4 Pb 2.96, 4 Zn 3.00, 4 Ag 3.00
Pb (0.2500, 0.7500, 0.5000)  8 Ag 2.96-3.00, 4 Zn 3.00

ρ: 10.769 g/cm³

***

Energies relative to the minimum, meV per atom: model w 0; model x 11